Material: SrZnW2
Method: DFT, PBE
State: optimized geometry

Results
As for the size of the total moment: 0.000 μB/atom. For the formation energy, the calculation gives 748 meV/atom. As for the crystal system: monoclinic. For the density, the calculation gives 10.27 Mg/m³. As for the energy: -51.74 eV for the cell shown.

abc: 9.0099 2.7985 6.6957
angles: 90.00 94.11 90.00
Closest atoms and distances in Å follow each position.
Space group Cm (No. 8)
Unique sites:
Sr: 0.0000 0.0000 0.0000 [2 per cell]  2 Sr 2.80
Zn: 0.2524 0.5000 0.3163 [2 per cell]  5 W 2.75-2.82, 2 Zn 2.80
W: 0.2356 0.0000 0.6740 [2 per cell]  5 W 2.57-2.82, 2 Zn 2.79
W: 0.4838 0.0000 0.5087 [2 per cell]  5 W 2.57-2.82, 3 Zn 2.75-2.82